First-principles (PBE) data for a relaxed structure of Cd5Sn2, as listed in the Alexandria database.

Its energy above the most stable polymorph in this dataset is 0.0139 eV per atom.

The structure belongs to space group C2/c (No. 15); the cell edges are 17.742, 5.249 and 7.436 Å and the angles 90.00°, 93.52° and 90.00°. The distinct sites, in fractional coordinates, are Cd at (0.000, 0.106, 0.250), Cd at (0.151, 0.123, 0.953), Cd at (0.217, 0.367, 0.317) and Sn at (0.076, 0.384, 0.597).

First-principles (PBE) data for a relaxed structure of Cd11Sn, as listed in the Alexandria database.

Its total energy is -52.28 eV per cell.

The structure belongs to space group I4_1/amd (No. 141, origin choice 2); the cell edges are 12.197, 12.197 and 7.724 Å and the angles 90.00°, 90.00° and 90.00°. The distinct sites, in fractional coordinates, are Cd at (0.000, 0.000, 0.000), Cd at (0.000, 0.250, 0.875), Cd at (0.120, 0.051, 0.670) and Sn at (0.000, 0.250, 0.375).

First-principles (PBE) data for a relaxed structure of CdSn8, as listed in the Alexandria database.

Its total energy is -64.77 eV per cell.

The structure belongs to space group I4/mmm (No. 139); the cell edges are 10.468, 10.468 and 4.486 Å and the angles 90.00°, 90.00° and 90.00°. The distinct sites, in fractional coordinates, are Cd at (0.000, 0.000, 0.000), Sn at (0.000, 0.332, 0.000) and Sn at (0.164, 0.164, 0.500).

First-principles (PBE) data for a relaxed structure of Cd3Sn, as listed in the Alexandria database.

Its total energy is -25.45 eV per cell.

The structure belongs to space group Fm-3m (No. 225); the cell edges are 7.327, 7.327 and 7.327 Å and the angles 90.00°, 90.00° and 90.00°. The distinct sites, in fractional coordinates, are Cd at (0.000, 0.000, 0.000), Cd at (0.250, 0.250, 0.250) and Sn at (0.000, 0.000, 0.500).

First-principles (PBE) data for a relaxed structure of Cd5Sn2, as listed in the Alexandria database.

Its energy above the most stable polymorph in this dataset is 0.0000 eV per atom.

The structure belongs to space group C2/m (No. 12); the cell edges are 10.425, 4.621 and 7.188 Å and the angles 90.00°, 100.03° and 90.00°. The distinct sites, in fractional coordinates, are Cd at (0.000, 0.000, 0.000), Cd at (0.147, 0.000, 0.425), Cd at (0.216, 0.500, 0.147) and Sn at (0.070, 0.500, 0.719).

First-principles (PBE) data for a relaxed structure of Cd2Sn, as listed in the Alexandria database.

Its total energy is -11.36 eV per cell.

The structure belongs to space group I4/mmm (No. 139); the cell edges are 3.210, 3.210 and 14.380 Å and the angles 90.00°, 90.00° and 90.00°. The distinct sites, in fractional coordinates, are Cd at (0.000, 0.000, 0.173) and Sn at (0.000, 0.000, 0.500).

First-principles (PBE) data for a relaxed structure of CdSn2, as listed in the Alexandria database.

Its energy above the most stable polymorph in this dataset is 0.0000 eV per atom.

The structure belongs to space group Immm (No. 71); the cell edges are 3.510, 4.392 and 10.275 Å and the angles 90.00°, 90.00° and 90.00°. The distinct sites, in fractional coordinates, are Cd at (0.000, 0.000, 0.000) and Sn at (0.000, 0.000, 0.335).

First-principles (PBE) data for a relaxed structure of Cd8Sn, as listed in the Alexandria database.

Its total energy is -22.28 eV per cell.

The structure belongs to space group I4/mmm (No. 139); the cell edges are 9.650, 9.650 and 4.509 Å and the angles 90.00°, 90.00° and 90.00°. The distinct sites, in fractional coordinates, are Cd at (0.000, 0.337, 0.000), Cd at (0.170, 0.170, 0.500) and Sn at (0.000, 0.000, 0.000).

First-principles (PBE) data for a relaxed structure of Cd3Sn, as listed in the Alexandria database.

Its total energy is -13.16 eV per cell.

The structure belongs to space group Imm2 (No. 44); the cell edges are 3.067, 11.133 and 5.763 Å and the angles 90.00°, 90.00° and 90.00°. The distinct sites, in fractional coordinates, are Cd at (0.000, 0.000, 0.000), Cd at (0.000, 0.258, 0.508) and Sn at (0.000, 0.500, 0.001).

First-principles (PBE) data for a relaxed structure of Cd2Sn, as listed in the Alexandria database.

Its total energy is -22.46 eV per cell.

The structure belongs to space group C2/m (No. 12); the cell edges are 9.433, 4.531 and 7.478 Å and the angles 90.00°, 93.89° and 90.00°. The distinct sites, in fractional coordinates, are Cd at (0.141, 0.000, 0.436), Cd at (0.217, 0.500, 0.126) and Sn at (0.079, 0.500, 0.738).

| no. | V (A^3/atom) | total moment (μB per formula unit) | calculated density (Mg/m³) |
| --- | --- | --- | --- |
| 1 | 24.7 | 0.0 | 7.7 |
| 2 | 23.9 | 0.0 | 7.8 |
| 3 | 27.3 | 0.0 | 7.2 |
| 4 | 24.6 | 0.0 | 7.7 |
| 5 | 24.4 | 0.0 | 7.8 |
| 6 | 24.7 | 0.0 | 7.7 |
| 7 | 26.4 | 0.0 | 7.3 |
| 8 | 23.3 | 0.0 | 8.1 |
| 9 | 24.6 | 0.0 | 7.7 |
| 10 | 26.6 | 0.0 | 7.2 |